1.
## MgMnTl2Br6 (PBE)

Data for crystalline MgMnTl2Br6 at its relaxed geometry.

Cell and atoms, written as CIF:
```
data_MgMnTl2Br6
_symmetry_space_group_name_H-M 'P 1'
_symmetry_Int_Tables_number 1
_cell_length_a 7.4117
_cell_length_b 7.5823
_cell_length_c 12.9752
_cell_angle_alpha 90.00
_cell_angle_beta 124.79
_cell_angle_gamma 90.00
loop_
_symmetry_equiv_pos_as_xyz
'x,y,z'
loop_
_atom_site_label
_atom_site_type_symbol
_atom_site_fract_x
_atom_site_fract_y
_atom_site_fract_z
Mg1 Mg 0.0000 0.0000 0.0000
Mg2 Mg 0.0000 0.5000 0.5000
Mn1 Mn 0.5000 0.0000 0.5000
Mn2 Mn 0.5000 0.5000 0.0000
Tl1 Tl 0.2650 0.0597 0.7504
Tl2 Tl 0.2650 0.4403 0.2504
Tl3 Tl 0.7350 0.5597 0.7496
Tl4 Tl 0.7350 0.9403 0.2496
Br1 Br 0.1838 0.0040 0.2502
Br2 Br 0.1838 0.4960 0.7502
Br3 Br 0.2400 0.7060 0.0326
Br4 Br 0.2400 0.7940 0.5326
Br5 Br 0.3268 0.2077 0.0328
Br6 Br 0.3268 0.2923 0.5328
Br7 Br 0.6732 0.7077 0.4672
Br8 Br 0.6732 0.7923 0.9672
Br9 Br 0.7600 0.2060 0.4674
Br10 Br 0.7600 0.2940 0.9674
Br11 Br 0.8162 0.5040 0.2498
Br12 Br 0.8162 0.9960 0.7498
```

Properties
VASP energy   -3.541 eV/atom

---

2.
## Ga2HgIBr (PBE)

Data for crystalline Ga2HgIBr at its relaxed geometry.

Cell and atoms, written as CIF:
```
data_Ga2HgIBr
_symmetry_space_group_name_H-M 'P 1'
_symmetry_Int_Tables_number 1
_cell_length_a 6.1183
_cell_length_b 6.1183
_cell_length_c 6.6146
_cell_angle_alpha 90.00
_cell_angle_beta 90.00
_cell_angle_gamma 90.00
loop_
_symmetry_equiv_pos_as_xyz
'x,y,z'
loop_
_atom_site_label
_atom_site_type_symbol
_atom_site_fract_x
_atom_site_fract_y
_atom_site_fract_z
Ga1 Ga 0.0000 0.5000 0.0000
Ga2 Ga 0.5000 0.0000 0.0000
Hg1 Hg 0.0000 0.0000 0.5000
I1 I 0.5000 0.5000 0.0000
Br1 Br 0.5000 0.5000 0.5000
```

Properties
VASP energy   -1.695 eV/atom